Entry 1:
First-principles (GGA-PBE) data for a geometry-optimized YTaSb2Te structure, as listed in the Alexandria database.

a b c (Å): 5.6524 5.6524 5.6272
angles (deg): 90.00 90.00 90.00
Last column: nearest neighbours and their distance in Å.
Atoms (fractional coordinates):
1 Y 0.0000 0.0000 0.0000  2 Te 2.81, 4 Sb 2.83
2 Sb 0.0000 0.5000 0.0000  2 Y 2.83
3 Sb 0.5000 0.0000 0.0000  2 Y 2.83
4 Te 0.0000 0.0000 0.5000  2 Y 2.81
5 Ta 0.5000 0.5000 0.5000  8 Sb 3.99, 4 Te 4.00

Computed properties:
- ΔE to the lowest computed polymorph (meV per atom) = 1085.9
- VASP energy (eV per atom) = -4.697
- formation energy without anion corrections (meV/atom) = 1244
- space-group type = P4/mmm (123)

=====

Entry 2:
First-principles (GGA-PBE) data for a geometry-optimized YTaSb2Te structure, as listed in the Alexandria database.

a b c (Å): 5.3456 5.3456 5.4643
angles (deg): 90.00 90.00 90.00
Last column: nearest neighbours and their distance in Å.
Atoms (fractional coordinates):
1 Y 0.5000 0.5000 0.5000  4 Te 3.78, 8 Sb 3.82
2 Sb 0.0000 0.5000 0.0000  2 Ta 2.67
3 Sb 0.5000 0.0000 0.0000  2 Ta 2.67
4 Te 0.0000 0.0000 0.5000  2 Ta 2.73
5 Ta 0.0000 0.0000 0.0000  4 Sb 2.67, 2 Te 2.73

Computed properties:
- ΔE to the lowest computed polymorph (meV per atom) = 0.0
- VASP energy (eV per atom) = -5.783
- formation energy without anion corrections (meV/atom) = 158
- space-group type = P4/mmm (123)

=====

Entry 3:
First-principles (GGA-PBE) data for a geometry-optimized TaZnSbTe2 structure, as listed in the Alexandria database.

a b c (Å): 5.3869 5.3869 5.4902
angles (deg): 90.00 90.00 90.00
Last column: nearest neighbours and their distance in Å.
Atoms (fractional coordinates):
1 Sb 0.0000 0.0000 0.5000  2 Ta 2.75
2 Zn 0.5000 0.5000 0.5000  4 Sb 3.81, 8 Te 3.85
3 Te 0.0000 0.5000 0.0000  2 Ta 2.69
4 Te 0.5000 0.0000 0.0000  2 Ta 2.69
5 Ta 0.0000 0.0000 0.0000  4 Te 2.69, 2 Sb 2.75

Computed properties:
- ΔE to the lowest computed polymorph (meV per atom) = 0.0
- VASP energy (eV per atom) = -4.355
- formation energy without anion corrections (meV/atom) = 351
- space-group type = P4/mmm (123)

=====

Entry 4:
First-principles (GGA-PBE) data for a geometry-optimized TaZnSbTe2 structure, as listed in the Alexandria database.

a b c (Å): 5.1581 5.1581 5.0169
angles (deg): 90.00 90.00 90.00
Last column: nearest neighbours and their distance in Å.
Atoms (fractional coordinates):
1 Sb 0.0000 0.0000 0.5000  2 Zn 2.51
2 Zn 0.0000 0.0000 0.0000  2 Sb 2.51, 4 Te 2.58
3 Te 0.0000 0.5000 0.0000  2 Zn 2.58
4 Te 0.5000 0.0000 0.0000  2 Zn 2.58
5 Ta 0.5000 0.5000 0.5000  8 Te 3.60, 4 Sb 3.65

Computed properties:
- ΔE to the lowest computed polymorph (meV per atom) = 786.6
- VASP energy (eV per atom) = -3.569
- formation energy without anion corrections (meV/atom) = 1138
- space-group type = P4/mmm (123)

=====

Entry 5:
First-principles (GGA-PBE) data for a geometry-optimized ZrTaSb2Te structure, as listed in the Alexandria database.

a b c (Å): 5.3276 5.3276 5.3791
angles (deg): 90.00 90.00 90.00
Last column: nearest neighbours and their distance in Å.
Atoms (fractional coordinates):
1 Sb 0.0000 0.5000 0.0000  2 Ta 2.66
2 Sb 0.5000 0.0000 0.0000  2 Ta 2.66
3 Te 0.0000 0.0000 0.5000  2 Ta 2.69
4 Zr 0.5000 0.5000 0.5000  4 Te 3.77, 8 Sb 3.79
5 Ta 0.0000 0.0000 0.0000  4 Sb 2.66, 2 Te 2.69

Computed properties:
- ΔE to the lowest computed polymorph (meV per atom) = 0.0
- VASP energy (eV per atom) = -5.686
- formation energy without anion corrections (meV/atom) = 672
- space-group type = P4/mmm (123)

=====

Entry 6:
First-principles (GGA-PBE) data for a geometry-optimized TaTi12Sb6 structure, as listed in the Alexandria database.

a b c (Å): 7.8606 7.8606 7.8606
angles (deg): 110.52 110.52 110.52
Last column: nearest neighbours and their distance in Å.
Atoms (fractional coordinates):
1 Ta 0.0000 0.0000 0.0000  12 Ti 2.92-2.96
2 Ti 0.8026 0.6844 0.5453  3 Sb 2.81-2.93, 7 Ti 2.85-3.12, 1 Ta 2.92
3 Ti 0.5453 0.8026 0.6844  3 Sb 2.81-2.93, 7 Ti 2.85-3.12, 1 Ta 2.92
4 Ti 0.6844 0.5453 0.8026  3 Sb 2.81-2.93, 7 Ti 2.85-3.12, 1 Ta 2.92
5 Ti 0.1974 0.3156 0.4547  3 Sb 2.81-2.93, 7 Ti 2.85-3.12, 1 Ta 2.92
6 Ti 0.4547 0.1974 0.3156  3 Sb 2.81-2.93, 7 Ti 2.85-3.12, 1 Ta 2.92
7 Ti 0.3156 0.4547 0.1974  3 Sb 2.81-2.93, 7 Ti 2.85-3.12, 1 Ta 2.92
8 Ti 0.9014 0.8278 0.2567  6 Ti 2.85-3.16, 4 Sb 2.91-3.01, 1 Ta 2.96
9 Ti 0.1722 0.7433 0.0986  6 Ti 2.85-3.16, 4 Sb 2.91-3.01, 1 Ta 2.96
10 Ti 0.7433 0.0986 0.1722  6 Ti 2.85-3.16, 4 Sb 2.91-3.01, 1 Ta 2.96
11 Ti 0.0986 0.1722 0.7433  6 Ti 2.85-3.16, 4 Sb 2.91-3.01, 1 Ta 2.96
12 Ti 0.8278 0.2567 0.9014  6 Ti 2.85-3.16, 4 Sb 2.91-3.01, 1 Ta 2.96
13 Ti 0.2567 0.9014 0.8278  6 Ti 2.85-3.16, 4 Sb 2.91-3.01, 1 Ta 2.96
14 Sb 0.6343 0.9129 0.4090  7 Ti 2.81-3.01, 2 Sb 3.10
15 Sb 0.5910 0.3657 0.0871  7 Ti 2.81-3.01, 2 Sb 3.10
16 Sb 0.0871 0.5910 0.3657  7 Ti 2.81-3.01, 2 Sb 3.10
17 Sb 0.3657 0.0871 0.5910  7 Ti 2.81-3.01, 2 Sb 3.10
18 Sb 0.4090 0.6343 0.9129  7 Ti 2.81-3.01, 2 Sb 3.10
19 Sb 0.9129 0.4090 0.6343  7 Ti 2.81-3.01, 2 Sb 3.10

Computed properties:
- VASP energy (eV per atom) = -7.157
- formation energy without anion corrections (meV/atom) = -245
- space-group type = R-3 (148)

=====

What did the sixth record say?
First-principles (GGA-PBE) data for a geometry-optimized TaTi12Sb6 structure, as listed in the Alexandria database.

a b c (Å): 7.8606 7.8606 7.8606
angles (deg): 110.52 110.52 110.52
Last column: nearest neighbours and their distance in Å.
Atoms (fractional coordinates):
1 Ta 0.0000 0.0000 0.0000  12 Ti 2.92-2.96
2 Ti 0.8026 0.6844 0.5453  3 Sb 2.81-2.93, 7 Ti 2.85-3.12, 1 Ta 2.92
3 Ti 0.5453 0.8026 0.6844  3 Sb 2.81-2.93, 7 Ti 2.85-3.12, 1 Ta 2.92
4 Ti 0.6844 0.5453 0.8026  3 Sb 2.81-2.93, 7 Ti 2.85-3.12, 1 Ta 2.92
5 Ti 0.1974 0.3156 0.4547  3 Sb 2.81-2.93, 7 Ti 2.85-3.12, 1 Ta 2.92
6 Ti 0.4547 0.1974 0.3156  3 Sb 2.81-2.93, 7 Ti 2.85-3.12, 1 Ta 2.92
7 Ti 0.3156 0.4547 0.1974  3 Sb 2.81-2.93, 7 Ti 2.85-3.12, 1 Ta 2.92
8 Ti 0.9014 0.8278 0.2567  6 Ti 2.85-3.16, 4 Sb 2.91-3.01, 1 Ta 2.96
9 Ti 0.1722 0.7433 0.0986  6 Ti 2.85-3.16, 4 Sb 2.91-3.01, 1 Ta 2.96
10 Ti 0.7433 0.0986 0.1722  6 Ti 2.85-3.16, 4 Sb 2.91-3.01, 1 Ta 2.96
11 Ti 0.0986 0.1722 0.7433  6 Ti 2.85-3.16, 4 Sb 2.91-3.01, 1 Ta 2.96
12 Ti 0.8278 0.2567 0.9014  6 Ti 2.85-3.16, 4 Sb 2.91-3.01, 1 Ta 2.96
13 Ti 0.2567 0.9014 0.8278  6 Ti 2.85-3.16, 4 Sb 2.91-3.01, 1 Ta 2.96
14 Sb 0.6343 0.9129 0.4090  7 Ti 2.81-3.01, 2 Sb 3.10
15 Sb 0.5910 0.3657 0.0871  7 Ti 2.81-3.01, 2 Sb 3.10
16 Sb 0.0871 0.5910 0.3657  7 Ti 2.81-3.01, 2 Sb 3.10
17 Sb 0.3657 0.0871 0.5910  7 Ti 2.81-3.01, 2 Sb 3.10
18 Sb 0.4090 0.6343 0.9129  7 Ti 2.81-3.01, 2 Sb 3.10
19 Sb 0.9129 0.4090 0.6343  7 Ti 2.81-3.01, 2 Sb 3.10

Computed properties:
- VASP energy (eV per atom) = -7.157
- formation energy without anion corrections (meV/atom) = -245
- space-group type = R-3 (148)